[1]
The following is a DFT calculation (PBE) of a relaxed HfTaNbNi2 crystal.

Properties
* final energy: -7.35 eV per atom
* magnetic moment: 0.000 μB per atom

Cell: 4.4169 4.4169 4.9445 Å, 90.00 90.00 90.00°
Space group P4/mmm (No. 123)
Unique sites:
1 Hf 0.0000 0.0000 0.0000 [1 per cell]
2 Ta 0.5000 0.5000 0.5000 [1 per cell]
3 Nb 0.0000 0.0000 0.5000 [1 per cell]
4 Ni 0.0000 0.5000 0.0000 [2 per cell]

[2]
The following is a DFT calculation (PBE) of a relaxed HfTiNbNi crystal.

Properties
* final energy: -8.51 eV per atom
* magnetic moment: 0.000 μB per atom

Cell: 6.4207 6.4207 6.4207 Å, 90.00 90.00 90.00°
Space group F-43m (No. 216)
Unique sites:
1 Hf 0.0000 0.0000 0.0000 [4 per cell]
2 Ti 0.0000 0.0000 0.5000 [4 per cell]
3 Nb 0.2500 0.2500 0.7500 [4 per cell]
4 Ni 0.2500 0.2500 0.2500 [4 per cell]

[3]
The following is a DFT calculation (PBE) of a relaxed HfNb2ZnNi crystal.

Properties
* final energy: -6.55 eV per atom
* magnetic moment: 0.000 μB per atom

Cell: 4.7652 4.7652 4.2610 Å, 90.00 90.00 90.00°
Space group P4/mmm (No. 123)
Unique sites:
1 Hf 0.0000 0.0000 0.0000 [1 per cell]
2 Nb 0.0000 0.5000 0.5000 [2 per cell]
3 Zn 0.5000 0.5000 0.5000 [1 per cell]
4 Ni 0.5000 0.5000 0.0000 [1 per cell]

[4]
The following is a DFT calculation (PBE) of a relaxed HfNpNbO6 crystal.

Properties
* raw formation energy: -2.9369 eV/atom
* final energy: -9.91 eV per atom
* magnetic moment: 0.444 μB per atom

Cell: 5.3937 5.3937 9.8554 Å, 90.00 90.00 120.00°
Space group P-31c (No. 163)
Unique sites:
1 Hf 0.3333 0.6667 0.2500 [2 per cell]
2 Np 0.0000 0.0000 0.0000 [2 per cell]
3 Nb 0.3333 0.6667 0.7500 [2 per cell]
4 O 0.0062 0.3558 0.6374 [12 per cell]

[5]
The following is a DFT calculation (PBE) of a relaxed HfNpNbOs crystal.

Properties
* final energy: -10.86 eV per atom
* magnetic moment: 0.799 μB per atom

Cell: 6.6607 6.6607 6.6607 Å, 90.00 90.00 90.00°
Space group F-43m (No. 216)
Unique sites:
1 Hf 0.0000 0.0000 0.0000 [4 per cell]
2 Np 0.2500 0.2500 0.7500 [4 per cell]
3 Nb 0.0000 0.0000 0.5000 [4 per cell]
4 Os 0.2500 0.2500 0.2500 [4 per cell]

[6]
The following is a DFT calculation (PBE) of a relaxed Hf3NbO crystal.

Properties
* raw formation energy: -1.0263 eV/atom
* final energy: -10.00 eV per atom
* energy above the most stable polymorph in this dataset: 0.0 meV/atom
* magnetic moment: 0.000 μB per atom

Cell: 4.4526 4.4526 4.4526 Å, 90.00 90.00 90.00°
Space group Pm-3m (No. 221)
Unique sites:
1 Hf 0.0000 0.0000 0.5000 [3 per cell]
2 Nb 0.5000 0.5000 0.5000 [1 per cell]
3 O 0.0000 0.0000 0.0000 [1 per cell]

[7]
The following is a DFT calculation (PBE) of a relaxed HfNbO2 crystal.

Properties
* raw formation energy: -2.0861 eV/atom
* final energy: -9.57 eV per atom
* energy above the most stable polymorph in this dataset: 0.0 meV/atom
* magnetic moment: 0.000 μB per atom

Cell: 3.3471 3.3471 17.6267 Å, 90.00 90.00 120.00°
Space group R-3m (No. 166, hexagonal axes)
Unique sites:
1 Hf 0.0000 0.0000 0.0000 [3 per cell]
2 Nb 0.0000 0.0000 0.5000 [3 per cell]
3 O 0.0000 0.0000 0.3798 [6 per cell]

[8]
The following is a DFT calculation (PBE) of a relaxed HfNb2O crystal.

Properties
* raw formation energy: -0.7049 eV/atom
* final energy: -9.47 eV per atom
* magnetic moment: 0.000 μB per atom

Cell: 7.4725 7.4725 4.6720 Å, 90.00 90.00 90.00°
Space group I-42d (No. 122)
Unique sites:
1 Hf 0.0000 0.0000 0.0000 [4 per cell]
2 Nb 0.1358 0.7500 0.6250 [8 per cell]
3 O 0.0000 0.0000 0.5000 [4 per cell]